Below is a relaxed structure of ScRhSeBr2, with properties calculated at the PBE level.

Raw formation energy in eV per atom: -0.216
SG: P4/mmm (123)
Electronic total energy in eV per atom: -4.32
Magnetic moment in μB/f.u.: 2.006
Energy relative to the lowest polymorph listed for this composition in meV per atom: 0

abc: 5.192 5.192 5.291
angles: 90.00 90.00 90.00
Sites, in units of the cell vectors:
Br 0.500 0.000 0.000
Br 0.000 0.500 0.000
Rh 0.500 0.500 0.500
Se 0.000 0.000 0.500
Sc 0.000 0.000 0.000